1 | A plane-wave DFT calculation with GGA-PBE was carried out for a geometry-optimized SiAsSe2F structure.

a b c (Å): 5.074 5.074 3.995
angles (deg): 90.00 90.00 90.00
Positions (direct):
F 0.000 0.000 0.000
Se 0.000 0.500 0.000
Se 0.500 0.000 0.000
As 0.000 0.000 0.500
Si 0.500 0.500 0.500

ρ in g/cm3: 4.52
DOS(E_F) in states/eV/f.u.: 3.073

=====

2 | A plane-wave DFT calculation with GGA-PBE was carried out for a geometry-optimized SiAsSe2F structure.

a b c (Å): 4.731 4.731 4.822
angles (deg): 90.00 90.00 90.00
Positions (direct):
Se 0.000 0.500 0.000
Se 0.500 0.000 0.000
F 0.500 0.500 0.500
Si 0.000 0.000 0.000
As 0.000 0.000 0.500

ρ in g/cm3: 4.31
DOS(E_F) in states/eV/f.u.: 4.610

=====

Sorted by energy, starting with the most stable: 2, 1.

=====

1 | A plane-wave DFT calculation with GGA-PBE was carried out for a geometry-optimized SrAs2SeF structure.

a b c (Å): 4.478 4.478 5.561
angles (deg): 90.00 90.00 90.00
Positions (direct):
As 0.500 0.000 0.000
As 0.000 0.500 0.000
Sr 0.500 0.500 0.500
F 0.000 0.000 0.000
Se 0.000 0.000 0.500

ρ in g/cm3: 5.00
DOS(E_F) in states/eV/f.u.: 2.588

=====

2 | A plane-wave DFT calculation with GGA-PBE was carried out for a geometry-optimized SrAs2SeF structure.

a b c (Å): 5.901 5.901 5.726
angles (deg): 90.00 90.00 90.00
Site moments in Bohr magnetons follow the coordinates.
Positions (direct):
Sr 0.000 0.000 0.000  0.02
As 0.500 0.000 0.000  0.35
As 0.000 0.500 0.000  0.35
F 0.500 0.500 0.500  -0.25
Se 0.000 0.000 0.500  -0.47

ρ in g/cm3: 2.79
DOS(E_F) in states/eV/f.u.: 10.466

=====

Sorted by energy, starting with the most stable: 1, 2.

=====

1 | A plane-wave DFT calculation with GGA-PBE was carried out for a geometry-optimized TaAs2SeF structure.

a b c (Å): 4.986 4.986 4.900
angles (deg): 90.00 90.00 90.00
Positions (direct):
Ta 0.000 0.000 0.000
As 0.500 0.000 0.000
As 0.000 0.500 0.000
Se 0.000 0.000 0.500
F 0.500 0.500 0.500

ρ in g/cm3: 5.84
DOS(E_F) in states/eV/f.u.: 3.832

=====

2 | A plane-wave DFT calculation with GGA-PBE was carried out for a geometry-optimized TaAs2SeF structure.

a b c (Å): 4.218 4.218 5.058
angles (deg): 90.00 90.00 90.00
Positions (direct):
As 0.500 0.000 0.000
As 0.000 0.500 0.000
F 0.000 0.000 0.000
Ta 0.500 0.500 0.500
Se 0.000 0.000 0.500

ρ in g/cm3: 7.91
DOS(E_F) in states/eV/f.u.: 2.497

=====

Sorted by energy, starting with the most stable: 1, 2.